Entry 1:
VASP calculation (PBE) on an optimized crystal structure of HfTlI.

The structure in POSCAR format:
```
HfTlI
1.0
15.8012 0.0000 0.0000
0.0000 1.7922 3.1042
0.0000 -1.7922 3.1042
Hf Tl I
2 2 2
direct
0.1465 0.0000 0.0000 Hf
0.8535 0.0000 0.0000 Hf
0.0000 0.6667 0.6667 Tl
0.5000 0.6686 0.6686 Tl
0.2743 0.6667 0.6667 I
0.7257 0.6667 0.6667 I
```

- Space group: Amm2
- ΔE_f (raw): -0.1685 eV/atom
- Final energy: -4.792 eV per atom

Entry 2:
VASP calculation (PBE) on an optimized crystal structure of Hf4TlI7.

The structure in POSCAR format:
```
Hf4TlI7
1.0
5.9394 0.0000 0.0000
1.2689 8.1792 0.0000
0.0846 0.8355 15.8085
Hf Tl I
8 2 14
direct
0.0064 0.0069 0.4039 Hf
0.0061 0.5067 0.9038 Hf
0.4067 0.2969 0.0001 Hf
0.4065 0.7968 0.5002 Hf
0.5935 0.2032 0.4998 Hf
0.5933 0.7031 0.9999 Hf
0.9939 0.4933 0.0962 Hf
0.9936 0.9931 0.5961 Hf
0.0002 0.2504 0.7499 Tl
0.9998 0.7496 0.2501 Tl
0.9997 0.2494 0.2499 I
0.0003 0.7506 0.7501 I
0.0571 0.2892 0.4971 I
0.0576 0.7897 0.9974 I
0.4853 0.4921 0.1394 I
0.4855 0.9923 0.6393 I
0.4969 0.0163 0.8820 I
0.4977 0.5172 0.3820 I
0.5023 0.4828 0.6180 I
0.5031 0.9837 0.1180 I
0.5145 0.0077 0.3607 I
0.5147 0.5079 0.8606 I
0.9424 0.2103 0.0026 I
0.9429 0.7108 0.5029 I
```

- Space group: P-1
- ΔE_f (raw): -0.3500 eV/atom
- Final energy: -4.769 eV per atom

Entry 3:
VASP calculation (PBE) on an optimized crystal structure of Hf2TlI8.

The structure in POSCAR format:
```
Hf2TlI8
1.0
7.7156 -5.6399 0.0000
7.7156 5.6399 0.0000
-1.3195 0.0000 7.7019
Hf Tl I
2 1 8
direct
0.2012 0.2012 0.1607 Hf
0.7988 0.7988 0.8393 Hf
0.0000 0.0000 0.5000 Tl
0.0786 0.6910 0.7462 I
0.1984 0.1984 0.8130 I
0.3090 0.9214 0.2538 I
0.3681 0.3681 0.3296 I
0.6319 0.6319 0.6704 I
0.6910 0.0786 0.7462 I
0.8016 0.8016 0.1870 I
0.9214 0.3090 0.2538 I
```

- Polymorph energy (0 for the lowest one): 0.00 eV/f.u.
- Space group: C2/m
- ΔE_f (raw): -0.7029 eV/atom
- Final energy: -3.855 eV per atom

Entry 4:
VASP calculation (PBE) on an optimized crystal structure of Hf2TlI8.

The structure in POSCAR format:
```
Hf2TlI8
1.0
10.3718 0.0000 0.0000
-5.1859 8.9822 0.0000
0.0000 0.0000 5.7982
Hf Tl I
2 1 8
direct
0.3333 0.6667 0.2388 Hf
0.6667 0.3333 0.7612 Hf
0.0000 0.0000 0.0000 Tl
0.1800 0.3620 0.2621 I
0.1819 0.8200 0.2621 I
0.3333 0.6667 0.7510 I
0.3620 0.1819 0.7379 I
0.6380 0.8181 0.2621 I
0.6667 0.3333 0.2490 I
0.8181 0.1800 0.7379 I
0.8200 0.6380 0.7379 I
```

- Polymorph energy (0 for the lowest one): 0.56 eV/f.u.
- Space group: P-3
- ΔE_f (raw): -0.6523 eV/atom
- Final energy: -3.805 eV per atom

Entry 5:
VASP calculation (PBE) on an optimized crystal structure of HfTlI5.

The structure in POSCAR format:
```
HfTlI5
1.0
6.6426 -4.7676 0.0000
6.6426 4.7676 0.0000
-4.3954 0.0000 10.3052
Hf Tl I
2 2 10
direct
0.0000 0.0000 0.0000 Hf
0.0000 0.0000 0.5000 Hf
0.4759 0.5241 0.7500 Tl
0.5241 0.4759 0.2500 Tl
0.0973 0.9027 0.7500 I
0.1090 0.3165 0.6274 I
0.1830 0.6477 0.0171 I
0.3165 0.1090 0.1274 I
0.3523 0.8170 0.4829 I
0.6477 0.1830 0.5171 I
0.6835 0.8910 0.8726 I
0.8170 0.3523 0.9829 I
0.8910 0.6835 0.3726 I
0.9027 0.0973 0.2500 I
```

- Space group: C2/c
- ΔE_f (raw): -0.7659 eV/atom
- Final energy: -3.633 eV per atom

Entry 6:
VASP calculation (PBE) on an optimized crystal structure of Hf2Tl2I.

The structure in POSCAR format:
```
Hf2Tl2I
1.0
7.7528 0.0000 0.0000
0.0000 7.7528 0.0000
0.0000 0.0000 4.2595
Hf Tl I
4 4 2
direct
0.1347 0.3653 0.0000 Hf
0.3653 0.8653 0.0000 Hf
0.6347 0.1347 0.0000 Hf
0.8653 0.6347 0.0000 Hf
0.1631 0.6631 0.5000 Tl
0.3369 0.1631 0.5000 Tl
0.6631 0.8369 0.5000 Tl
0.8369 0.3369 0.5000 Tl
0.0000 0.0000 0.0000 I
0.5000 0.5000 0.0000 I
```

- Space group: P4/mbm
- ΔE_f (raw): 0.1831 eV/atom
- Final energy: -5.055 eV per atom

Entry 7:
VASP calculation (PBE) on an optimized crystal structure of Hf2TlI.

The structure in POSCAR format:
```
Hf2TlI
1.0
-2.2370 2.2370 10.6327
2.2370 -2.2370 10.6327
2.2370 2.2370 -10.6327
Hf Tl I
4 2 2
direct
0.1162 0.6250 0.9912 Hf
0.3750 0.3662 0.4912 Hf
0.6338 0.1250 0.0088 Hf
0.8750 0.8838 0.5088 Hf
0.0000 0.0000 0.0000 Tl
0.7500 0.2500 0.5000 Tl
0.2500 0.7500 0.5000 I
0.5000 0.5000 0.0000 I
```

- Polymorph energy (0 for the lowest one): 0.82 eV/f.u.
- Space group: I-42d
- ΔE_f (raw): 0.5203 eV/atom
- Final energy: -5.435 eV per atom

Entry 8:
VASP calculation (PBE) on an optimized crystal structure of Tm2HfI.

The structure in POSCAR format:
```
Tm2HfI
1.0
1.7317 0.9998 11.1736
-1.7317 0.9998 11.1736
0.0000 -1.9996 11.1736
Tm Hf I
2 1 1
direct
0.0917 0.0917 0.0917 Tm
0.9083 0.9083 0.9083 Tm
0.0000 0.0000 0.0000 Hf
0.5000 0.5000 0.5000 I
```

- Space group: R-3m
- ΔE_f (raw): 0.2530 eV/atom
- Final energy: -4.859 eV per atom